[1]
## NaHfCl2 (PBE)

Data for NaHfCl2 after structural relaxation.

Cell lengths 8.7638, 8.7638, 8.7638 Å; angles 23.28, 23.28, 23.28 degrees
Site moments in Bohr magnetons follow the coordinates.
Atoms (fractional coordinates):
Cl 0.9024 0.9024 0.9024  0.00
Na 0.5000 0.5000 0.5000  0.01
Cl 0.0976 0.0976 0.0976  0.00
Hf 0.0000 0.0000 0.0000  0.56

Summary:
Space-group type: R-3m (166)
Offset from the most stable computed form, meV per atom: 0
E_tot, eV per atom: -4.76

=====

[2]
## NaHf2Cl (PBE)

Data for NaHf2Cl after structural relaxation.

Cell lengths 3.9692, 3.9692, 13.0830 Å; angles 81.27, 81.27, 90.00 degrees
Atoms (fractional coordinates):
Na 0.2500 0.7500 0.5000
Hf 0.6271 0.1250 0.2500
Na 0.5000 0.5000 0.0000
Hf 0.8750 0.8771 0.7500
Cl 0.7500 0.2500 0.5000
Hf 0.3750 0.3729 0.7500
Cl 0.0000 0.0000 0.0000
Hf 0.1229 0.6250 0.2500

Summary:
Space-group type: I-42d (122)
Offset from the most stable computed form, meV per atom: 0
E_tot, eV per atom: -5.48

=====

[3]
## NaHfCl14 (PBE)

Data for NaHfCl14 after structural relaxation.

Cell lengths 8.9197, 7.7300, 10.3969 Å; angles 99.01, 95.75, 119.02 degrees
Site moments in Bohr magnetons follow the coordinates.
Atoms (fractional coordinates):
Hf 0.6825 0.3046 0.0283  -0.01
Cl 0.9947 0.6224 0.5688  -0.02
Cl 0.4573 0.3754 0.9604  0.01
Cl 0.9040 0.1910 0.0245  0.24
Cl 0.3121 0.1812 0.5362  0.05
Cl 0.9022 0.6605 0.0685  0.00
Cl 0.9250 0.9105 0.4534  0.00
Cl 0.8390 0.0723 0.3643  0.00
Cl 0.1807 0.7546 0.7380  -0.02
Na 0.6688 0.7999 0.0760  0.00
Cl 0.4485 0.9326 0.9793  0.00
Cl 0.5737 0.3461 0.5947  0.13
Cl 0.7369 0.2337 0.7954  0.36
Cl 0.6920 0.3167 0.2596  0.00
Cl 0.3244 0.5730 0.3490  -0.03
Cl 0.3582 0.7256 0.2038  -0.03

Summary:
Space-group type: P1 (1)
E_tot, eV per atom: -3.07

=====

[4]
## NaHfCl2 (PBE)

Data for NaHfCl2 after structural relaxation.

Cell lengths 4.7450, 4.7450, 4.7450 Å; angles 60.00, 60.00, 60.00 degrees
Site moments in Bohr magnetons follow the coordinates.
Atoms (fractional coordinates):
Cl 0.2500 0.2500 0.2500  -0.01
Hf 0.5000 0.5000 0.5000  0.77
Na 0.0000 0.0000 0.0000  0.01
Cl 0.7500 0.7500 0.7500  -0.01

Summary:
Space-group type: Fm-3m (225)
Offset from the most stable computed form, meV per atom: 685
E_tot, eV per atom: -4.07

=====

[5]
## NaHfCl2 (PBE)

Data for NaHfCl2 after structural relaxation.

Cell lengths 10.5530, 10.5530, 10.5530 Å; angles 17.96, 17.96, 17.96 degrees
Atoms (fractional coordinates):
Na 0.0000 0.0000 0.0000
Cl 0.1077 0.1077 0.1077
Cl 0.8923 0.8923 0.8923
Hf 0.5000 0.5000 0.5000

Summary:
Space-group type: R-3m (166)
Offset from the most stable computed form, meV per atom: 27
E_tot, eV per atom: -4.73

=====

[6]
## NaHf2OsCl (PBE)

Data for NaHf2OsCl after structural relaxation.

Cell lengths 4.9334, 5.9841, 4.9334 Å; angles 90.00, 90.00, 90.00 degrees
Atoms (fractional coordinates):
Hf 0.0000 0.0000 0.5000
Cl 0.5000 0.5000 0.5000
Hf 0.5000 0.0000 0.0000
Os 0.0000 0.0000 0.0000
Na 0.0000 0.5000 0.0000

Summary:
Space-group type: P4/mmm (123)
E_tot, eV per atom: -6.47

=====

[7]
## NaHfP2Cl (PBE)

Data for NaHfP2Cl after structural relaxation.

Cell lengths 4.9771, 4.9771, 5.2312 Å; angles 90.00, 90.00, 90.00 degrees
Atoms (fractional coordinates):
P 0.5000 0.0000 0.0000
Na 0.5000 0.5000 0.5000
P 0.0000 0.5000 0.0000
Cl 0.0000 0.0000 0.5000
Hf 0.0000 0.0000 0.0000

Summary:
Space-group type: P4/mmm (123)
Offset from the most stable computed form, meV per atom: 0
E_tot, eV per atom: -5.32

=====

[8]
## NaHfP2Cl (PBE)

Data for NaHfP2Cl after structural relaxation.

Cell lengths 4.8179, 4.8179, 4.5728 Å; angles 90.00, 90.00, 90.00 degrees
Atoms (fractional coordinates):
Hf 0.5000 0.5000 0.5000
Na 0.0000 0.0000 0.0000
P 0.0000 0.5000 0.0000
P 0.5000 0.0000 0.0000
Cl 0.0000 0.0000 0.5000

Summary:
Space-group type: P4/mmm (123)
Offset from the most stable computed form, meV per atom: 1275
E_tot, eV per atom: -4.05

=====

The records above give, respectively, ΔE_f (raw) values of -1.015, 0.293, -0.753, -0.330, -0.988, 0.386, -0.537, 0.738 eV/atom.
The records above give, respectively, density values of 4.90, 6.85, 1.91, 5.99, 4.64, 6.91, 3.83, 4.68 g cm⁻³.
The records above give, respectively, spin magnetization values of 1.00, 0.00, 0.84, 1.20, 0.00, 0.00, 0.00, 0.00 μB/f.u..